(1)
Density functional theory data (PBEsol) for an optimized crystal structure of LiVP2O7.

Summary:
As for the space group: P-1 (2). Its formation energy without anion corrections is -2.21 eV/atom.

```
LiVP2O7
1.0
6.2379 0.0000 0.0000
-2.6477 5.7938 0.0000
-1.9925 -2.0438 7.3077
Li V P O
2 2 4 14
Direct
0.0000 0.0000 0.0000
0.0000 0.0000 0.5000
0.4122 0.6867 0.2312
0.5878 0.3133 0.7688
0.1627 0.4350 0.7813
0.4582 0.2283 0.3191
0.5418 0.7717 0.6809
0.8373 0.5650 0.2187
0.1124 0.6362 0.2803
0.2115 0.2159 0.7565
0.2566 0.5707 0.6345
0.2908 0.3131 0.1990
0.3067 0.6061 0.9707
0.4094 0.2134 0.4998
0.4368 0.0001 0.2131
0.5632 0.9999 0.7869
0.5906 0.7866 0.5002
0.6933 0.3939 0.0293
0.7092 0.6869 0.8010
0.7434 0.4293 0.3655
0.7885 0.7841 0.2435
0.8876 0.3638 0.7197
```

***

(2)
Density functional theory data (PBEsol) for an optimized crystal structure of Li4Zr8V3P9O48.

Summary:
As for the space group: P1 (1). Its formation energy without anion corrections is -2.74 eV/atom.

```
Li4Zr8V3P9O48
1.0
8.9760 0.0000 0.0000
-0.0467 9.0009 0.0000
-0.3229 -0.0890 12.6641
Li Zr V P O
4 8 3 9 48
Direct
0.0000 0.0000 0.0000
0.0476 0.5012 0.1455
0.4759 0.9513 0.4960
0.5486 0.4476 0.6411
0.0079 0.1788 0.2113
0.0232 0.2364 0.7000
0.0255 0.7518 0.4376
0.0396 0.6756 0.9365
0.5109 0.7692 0.7020
0.5183 0.7052 0.2053
0.5295 0.2062 0.9323
0.5293 0.2714 0.4347
0.3653 0.3466 0.1703
0.6807 0.8446 0.9661
0.8697 0.6021 0.6733
0.1583 0.8251 0.1786
0.1751 0.1048 0.4640
0.2419 0.9693 0.8324
0.3070 0.4741 0.8033
0.3817 0.6230 0.4632
0.6575 0.1233 0.6725
0.7369 0.9786 0.3381
0.8013 0.4755 0.3100
0.8929 0.3191 0.9638
0.0895 0.9776 0.1457
0.0972 0.1936 0.5500
0.0968 0.7796 0.2847
0.1083 0.7031 0.0970
0.1151 0.1515 0.3532
0.1381 0.8841 0.9078
0.1430 0.0647 0.7601
0.1524 0.9372 0.4789
0.1748 0.3206 0.1637
0.2001 0.3793 0.7351
0.2114 0.6168 0.4631
0.2215 0.5820 0.8738
0.3256 0.8593 0.7623
0.3285 0.8366 0.1819
0.3460 0.1336 0.4720
0.3510 0.0636 0.8989
0.3946 0.5273 0.1451
0.4070 0.3783 0.8745
0.4107 0.5618 0.7295
0.4276 0.3042 0.2952
0.4375 0.7468 0.5414
0.4389 0.6603 0.3541
0.4480 0.4713 0.4997
0.4519 0.2390 0.0812
0.5865 0.9720 0.6370
0.5894 0.7411 0.0553
0.6006 0.2459 0.5953
0.6046 0.1639 0.7824
0.6233 0.7997 0.8394
0.6247 0.0630 0.4081
0.6452 0.8732 0.2666
0.6498 0.0258 0.9886
0.6794 0.6248 0.6573
0.6928 0.5594 0.2373
0.7163 0.3679 0.3813
0.7225 0.3317 0.9600
0.8189 0.0885 0.2669
0.8277 0.1147 0.6712
0.8475 0.8951 0.4088
0.8704 0.8194 0.9809
0.8938 0.5813 0.3806
0.9058 0.4216 0.6491
0.9108 0.3875 0.2398
0.9227 0.6450 0.8007
0.9403 0.2004 0.0474
0.9517 0.2730 0.8561
0.9608 0.7136 0.5889
0.9623 0.4719 0.9990
```

***

(3)
Density functional theory data (PBEsol) for an optimized crystal structure of LiP4WO12.

Summary:
As for the space group: P2_1 (4). The relative energy among the computed polymorphs is 43 meV/atom. Its formation energy without anion corrections is -1.97 eV/atom.

```
LiP4WO12
1.0
6.8048 0.0000 0.0000
0.0000 8.7290 0.0000
-0.8071 0.0000 7.2125
Li P W O
2 8 2 24
Direct
0.2164 0.0000 0.3350
0.7836 0.5000 0.6650
0.0705 0.4824 0.3785
0.0812 0.8310 0.9651
0.4282 0.6275 0.9309
0.4448 0.3242 0.3915
0.5552 0.8242 0.6085
0.5718 0.1275 0.0691
0.9188 0.3310 0.0349
0.9295 0.9824 0.6215
0.2365 0.2831 0.7440
0.7635 0.7831 0.2560
0.0041 0.6409 0.3252
0.0570 0.4423 0.5803
0.0602 0.8616 0.7440
0.1273 0.2924 0.9972
0.1851 0.9524 0.0789
0.2061 0.6755 0.9605
0.2915 0.4634 0.3274
0.3178 0.2061 0.4793
0.3756 0.8834 0.5015
0.4117 0.4764 0.8322
0.4457 0.1387 0.8861
0.4965 0.2584 0.1982
0.5035 0.7584 0.8018
0.5543 0.6387 0.1139
0.5883 0.9764 0.1678
0.6244 0.3834 0.4985
0.6822 0.7061 0.5207
0.7085 0.9634 0.6726
0.7939 0.1755 0.0395
0.8149 0.4524 0.9211
0.8727 0.7924 0.0028
0.9398 0.3616 0.2560
0.9430 0.9423 0.4197
0.9959 0.1409 0.6748
```

***

(4)
Density functional theory data (PBEsol) for an optimized crystal structure of LiPW4O13.

Summary:
As for the space group: Pnma (62). Its formation energy without anion corrections is -2.09 eV/atom.

```
LiPW4O13
1.0
9.9705 0.0000 0.0000
0.0000 10.0439 0.0000
0.0000 0.0000 9.8000
Li P W O
4 4 16 52
Direct
0.1976 0.2500 0.1997
0.3024 0.7500 0.6997
0.6976 0.2500 0.3003
0.8024 0.7500 0.8003
0.2486 0.2500 0.9458
0.2514 0.7500 0.4458
0.7486 0.2500 0.5542
0.7514 0.7500 0.0542
0.0001 0.1071 0.7475
0.0001 0.3929 0.7475
0.9999 0.6071 0.2525
0.9999 0.8929 0.2525
0.2469 0.5755 0.9635
0.2469 0.9245 0.9635
0.2531 0.0755 0.4635
0.2531 0.4245 0.4635
0.5001 0.1071 0.7525
0.5001 0.3929 0.7525
0.4999 0.6071 0.2475
0.4999 0.8929 0.2475
0.7469 0.5755 0.5365
0.7469 0.9245 0.5365
0.7531 0.0755 0.0365
0.7531 0.4245 0.0365
0.1119 0.5151 0.8422
0.1119 0.9849 0.8422
0.1182 0.0144 0.3409
0.1182 0.4856 0.3409
0.1180 0.6115 0.0989
0.1180 0.8885 0.0989
0.1192 0.1067 0.5966
0.1192 0.3933 0.5966
0.1218 0.7500 0.3588
0.1266 0.2500 0.8471
0.2425 0.1280 0.0398
0.2425 0.3720 0.0398
0.2501 0.2500 0.3839
0.2499 0.7500 0.8839
0.2575 0.6280 0.5398
0.2575 0.8720 0.5398
0.3734 0.7500 0.3471
0.3782 0.2500 0.8588
0.3808 0.6067 0.0966
0.3808 0.8933 0.0966
0.3820 0.1115 0.5989
0.3820 0.3885 0.5989
0.3818 0.5144 0.8409
0.3818 0.9856 0.8409
0.3881 0.0151 0.3422
0.3881 0.4849 0.3422
0.6119 0.5151 0.6579
0.6119 0.9849 0.6579
0.6182 0.0144 0.1591
0.6182 0.4856 0.1591
0.6180 0.6115 0.4011
0.6180 0.8885 0.4011
0.6192 0.1067 0.9034
0.6192 0.3933 0.9034
0.6218 0.7500 0.1412
0.6266 0.2500 0.6529
0.7425 0.1280 0.4602
0.7425 0.3720 0.4602
0.7501 0.2500 0.1161
0.7499 0.7500 0.6161
0.7575 0.6280 0.9602
0.7575 0.8720 0.9602
0.8734 0.7500 0.1529
0.8782 0.2500 0.6412
0.8808 0.6067 0.4034
0.8808 0.8933 0.4034
0.8820 0.1115 0.9011
0.8820 0.3885 0.9011
0.8818 0.5144 0.6591
0.8818 0.9856 0.6591
0.8881 0.0151 0.1578
0.8881 0.4849 0.1578
```

***

(5)
Density functional theory data (PBEsol) for an optimized crystal structure of Li3P3W2O12.

Summary:
As for the space group: R-3 (148). The relative energy among the computed polymorphs is 0 meV/atom. Its formation energy without anion corrections is -1.97 eV/atom.

```
Li3P3W2O12
1.0
4.2494 2.4534 7.6473
-4.2494 2.4534 7.6473
0.0000 -4.9067 7.6473
Li P W O
6 6 4 24
Direct
0.1658 0.7667 0.4243
0.2333 0.5757 0.8342
0.4243 0.1658 0.7667
0.5757 0.8342 0.2333
0.7667 0.4243 0.1658
0.8342 0.2333 0.5757
0.0466 0.4613 0.7483
0.2517 0.9534 0.5387
0.4613 0.7483 0.0466
0.5387 0.2517 0.9534
0.7483 0.0466 0.4613
0.9534 0.5387 0.2517
0.1522 0.1522 0.1522
0.3552 0.3552 0.3552
0.6448 0.6448 0.6448
0.8478 0.8478 0.8478
0.0024 0.3422 0.9648
0.0352 0.9976 0.6578
0.0599 0.6492 0.7061
0.1021 0.4897 0.3144
0.2490 0.3528 0.6334
0.2939 0.9401 0.3508
0.3144 0.1021 0.4897
0.3422 0.9648 0.0024
0.3508 0.2939 0.9401
0.3528 0.6334 0.2490
0.3666 0.7510 0.6472
0.4897 0.3144 0.1021
0.5103 0.6856 0.8979
0.6334 0.2490 0.3528
0.6472 0.3666 0.7510
0.6492 0.7061 0.0599
0.6578 0.0352 0.9976
0.6856 0.8979 0.5103
0.7061 0.0599 0.6492
0.7510 0.6472 0.3666
0.8979 0.5103 0.6856
0.9401 0.3508 0.2939
0.9648 0.0024 0.3422
0.9976 0.6578 0.0352
```

***

(6)
Density functional theory data (PBEsol) for an optimized crystal structure of LiPWO5.

Summary:
As for the space group: P-1 (2). The relative energy among the computed polymorphs is 0 meV/atom. Its formation energy without anion corrections is -2.05 eV/atom.

```
LiPWO5
1.0
7.0801 0.0000 0.0000
3.3296 6.5133 0.0000
0.4006 -0.0934 7.9610
Li P W O
4 4 4 20
Direct
0.1957 0.2279 0.4344
0.3009 0.7742 0.0629
0.6991 0.2258 0.9371
0.8043 0.7721 0.5656
0.2258 0.7556 0.4051
0.2740 0.2440 0.0957
0.7260 0.7560 0.9043
0.7742 0.2444 0.5949
0.2489 0.0021 0.7502
0.2505 0.4984 0.7511
0.7495 0.5016 0.2489
0.7511 0.9979 0.2498
0.0630 0.4008 0.1778
0.0799 0.8487 0.2551
0.1314 0.6450 0.5243
0.2436 0.7523 0.8135
0.2465 0.0749 0.9997
0.2481 0.9286 0.4990
0.2603 0.2471 0.6657
0.3722 0.3501 0.9745
0.4203 0.1468 0.2434
0.4373 0.6023 0.3209
0.5627 0.3977 0.6791
0.5797 0.8532 0.7566
0.6278 0.6499 0.0255
0.7397 0.7529 0.3343
0.7519 0.0714 0.5010
0.7535 0.9251 0.0003
0.7564 0.2477 0.1865
0.8686 0.3550 0.4757
0.9201 0.1513 0.7449
0.9370 0.5992 0.8222
```

***

(7)
Density functional theory data (PBEsol) for an optimized crystal structure of LiPW2O8.

Summary:
As for the space group: P2_1 (4). Its formation energy without anion corrections is -2.17 eV/atom.

```
LiPW2O8
1.0
6.6463 0.0000 0.0000
0.0000 5.2901 0.0000
-0.0459 0.0000 17.6626
Li P W O
4 4 8 32
Direct
0.2350 0.0000 0.2020
0.2603 0.0659 0.7111
0.7397 0.5659 0.2889
0.7650 0.5000 0.7980
0.2014 0.6101 0.8091
0.2991 0.6573 0.3106
0.7009 0.1573 0.6894
0.7986 0.1101 0.1909
0.0037 0.6453 0.6242
0.1618 0.1276 0.0422
0.3380 0.1477 0.5425
0.4980 0.6237 0.1241
0.5020 0.1237 0.8759
0.6620 0.6477 0.4575
0.8382 0.6276 0.9578
0.9963 0.1453 0.3758
0.0033 0.6084 0.8547
0.0234 0.8451 0.0039
0.1512 0.3653 0.5994
0.1520 0.4547 0.3356
0.1517 0.6918 0.7271
0.1598 0.1397 0.4592
0.1894 0.8680 0.5868
0.2007 0.9254 0.3132
0.2952 0.3406 0.8080
0.3102 0.4106 0.0848
0.3377 0.1341 0.9586
0.3452 0.6208 0.2259
0.3508 0.8112 0.8362
0.3532 0.9121 0.0998
0.4803 0.4255 0.5044
0.5000 0.1462 0.6459
0.5000 0.6462 0.3541
0.5197 0.9255 0.4956
0.6468 0.4121 0.9002
0.6492 0.3112 0.1638
0.6548 0.1208 0.7741
0.6623 0.6341 0.0414
0.6898 0.9106 0.9152
0.7048 0.8406 0.1920
0.7993 0.4254 0.6868
0.8106 0.3680 0.4132
0.8402 0.6397 0.5408
0.8483 0.1918 0.2729
0.8480 0.9547 0.6644
0.8488 0.8653 0.4006
0.9766 0.3451 0.9961
0.9967 0.1084 0.1453
```

***

(8)
Density functional theory data (PBEsol) for an optimized crystal structure of LiP3W2O12.

Summary:
As for the space group: Pbcm (57). The relative energy among the computed polymorphs is 10 meV/atom. Its formation energy without anion corrections is -2.03 eV/atom.

```
LiP3W2O12
1.0
8.9347 0.0000 0.0000
0.0000 9.0924 0.0000
0.0000 0.0000 12.3052
Li P W O
4 12 8 48
Direct
0.1300 0.2008 0.2500
0.1300 0.2992 0.7500
0.8700 0.7008 0.2500
0.8700 0.7992 0.7500
0.0314 0.2500 0.0000
0.0314 0.2500 0.5000
0.4008 0.6296 0.1311
0.4008 0.6296 0.3689
0.4008 0.8704 0.6311
0.4008 0.8704 0.8689
0.5992 0.1296 0.1311
0.5992 0.1296 0.3689
0.5992 0.3704 0.6311
0.5992 0.3704 0.8689
0.9686 0.7500 0.0000
0.9686 0.7500 0.5000
0.2473 0.5236 0.5995
0.2473 0.5236 0.9005
0.2473 0.9764 0.0995
0.2473 0.9764 0.4005
0.7527 0.0236 0.5995
0.7527 0.0236 0.9005
0.7527 0.4764 0.0995
0.7527 0.4764 0.4005
0.0597 0.6391 0.5657
0.0597 0.6391 0.9343
0.0597 0.8609 0.0657
0.0597 0.8609 0.4343
0.1309 0.1725 0.0868
0.1309 0.1725 0.4132
0.1309 0.3275 0.5868
0.1309 0.3275 0.9132
0.2106 0.5140 0.7500
0.2106 0.9860 0.2500
0.3012 0.5328 0.0598
0.3012 0.5328 0.4402
0.3012 0.9672 0.5598
0.3012 0.9672 0.9402
0.3466 0.5801 0.2500
0.3466 0.9199 0.7500
0.3720 0.7068 0.6193
0.3720 0.7068 0.8807
0.3720 0.7932 0.1193
0.3720 0.7932 0.3807
0.4332 0.1018 0.1208
0.4332 0.1018 0.3792
0.4332 0.3982 0.6208
0.4332 0.3982 0.8792
0.5668 0.6018 0.1208
0.5668 0.6018 0.3792
0.5668 0.8982 0.6208
0.5668 0.8982 0.8792
0.6280 0.2068 0.6193
0.6280 0.2068 0.8807
0.6280 0.2932 0.1193
0.6280 0.2932 0.3807
0.6534 0.0801 0.2500
0.6534 0.4199 0.7500
0.6988 0.0328 0.0598
0.6988 0.0328 0.4402
0.6988 0.4672 0.5598
0.6988 0.4672 0.9402
0.7894 0.0140 0.7500
0.7894 0.4860 0.2500
0.8691 0.6725 0.0868
0.8691 0.6725 0.4132
0.8691 0.8275 0.5868
0.8691 0.8275 0.9132
0.9403 0.1391 0.5657
0.9403 0.1391 0.9343
0.9403 0.3609 0.0657
0.9403 0.3609 0.4343
```